The following is a PBE+U calculation of an optimized crystal structure of CrGaTcO6, from the Alexandria database.

The total energy comes out at -129.8 eV per cell.

The structure in CIF format:
```
data_CrGaTcO6
_chemical_formula_sum 'Cr2 Ga2 Tc2 O12'
_space_group_name_H-M_alt 'P 42 n m'
_space_group_IT_number 102
_space_group_name_Hall 'P 4n -2n'
_cell_length_a 4.5968
_cell_length_b 4.5968
_cell_length_c 9.1041
_cell_angle_alpha 90.00
_cell_angle_beta 90.00
_cell_angle_gamma 90.00
loop_
_atom_site_label
_atom_site_type_symbol
_atom_site_fract_x
_atom_site_fract_y
_atom_site_fract_z
_atom_site_occupancy
Cr1 Cr 0.0000 0.0000 0.0000 1
Ga1 Ga 0.0000 0.0000 0.3313 1
Tc1 Tc 0.0000 0.0000 0.6657 1
O1 O 0.1932 0.1932 0.5024 1
O2 O 0.1939 0.1939 0.8276 1
O3 O 0.2031 0.2031 0.1660 1
```